The following is a GGA-PBE calculation of a relaxed Sm3CoHg2 crystal, from the Alexandria database.

Summary:
V (A^3/atom): 25.80
DOS(E_F) (states/eV/cell): 20.39
Final energy (eV per cell): -94.47

```
data_Sm3CoHg2
_symmetry_space_group_name_H-M 'C m c m'
_symmetry_Int_Tables_number 63
_symmetry_space_group_name_Hall '-C 2c 2'
_cell_length_a 16.3173
_cell_length_b 5.2378
_cell_length_c 7.2459
_cell_angle_alpha 90.00
_cell_angle_beta 90.00
_cell_angle_gamma 90.00
loop_
_atom_site_label
_atom_site_fract_x
_atom_site_fract_y
_atom_site_fract_z
Sm1 0.0000 0.0014 0.2500
Sm2 0.1329 0.5000 0.0000
Co1 0.0000 0.4985 0.7500
Hg1 0.1953 0.0001 0.2500
```

The following is a GGA-PBE calculation of a relaxed Sm6CoHg3 crystal, from the Alexandria database.

Summary:
V (A^3/atom): 26.93
DOS(E_F) (states/eV/cell): 18.97
Final energy (eV per cell): -77.89

```
data_Sm6CoHg3
_symmetry_space_group_name_H-M 'P 1 21/m 1'
_symmetry_Int_Tables_number 11
_symmetry_space_group_name_Hall '-P 2yb'
_cell_length_a 9.0523
_cell_length_b 5.4465
_cell_length_c 11.4446
_cell_angle_alpha 90.00
_cell_angle_beta 107.32
_cell_angle_gamma 90.00
loop_
_atom_site_label
_atom_site_fract_x
_atom_site_fract_y
_atom_site_fract_z
Sm1 0.0205 0.2500 0.4110
Sm2 0.1839 0.7500 0.1592
Sm3 0.2784 0.2500 0.9922
Sm4 0.3570 0.7500 0.8459
Sm5 0.3760 0.2500 0.3484
Sm6 0.3934 0.2500 0.6513
Co1 0.4608 0.7500 0.1017
Hg1 0.0014 0.7500 0.8682
Hg2 0.0830 0.2500 0.7125
Hg3 0.2790 0.7500 0.4721
```